The following is a PBE calculation of an optimized crystal structure of Hf3GaCu, from Alexandria.

The total moment comes out at 0.00 μB per cell. The density of states at the Fermi level comes out at 10.26 states/eV/cell. The calculation puts the energy relative to the elements at 3.3 kcal/mol of atoms.

Geometry as CIF:
```
data_Hf3GaCu
_chemical_formula_sum 'Hf6 Ga2 Cu2'
_cell_length_a 7.0626
_cell_length_b 7.0626
_cell_length_c 4.6929
_cell_angle_alpha 90.00
_cell_angle_beta 90.00
_cell_angle_gamma 120.00
_space_group_name_H-M_alt 'P 63/m m c'
_space_group_IT_number 194
_space_group_name_Hall '-P 6c 2c'
loop_
_atom_site_label
_atom_site_fract_x
_atom_site_fract_y
_atom_site_fract_z
_atom_site_occupancy
Hf1 0.1921 0.3843 0.2500 1
Ga1 0.3333 0.6667 0.7500 1
Cu1 0.0000 0.0000 0.0000 1
```